Record 1
! Sc3B2Ir5 | Alexandria | PBE-GGA | optimized geometry; values from VASP
! DFT formation energy = -0.87 eV per atom
! Density = 13.0 Mg/m³
! Symmetry = P4/mbm
! Crystal system = tetragonal
&SYSTEM
  ibrav = 0, nat = 20, ntyp = 3
/
ATOMIC_SPECIES
Sc 44.96 Sc.upf
B 10.81 B.upf
Ir 192.22 Ir.upf
CELL_PARAMETERS angstrom
9.601 0.000 0.000
0.000 9.601 0.000
0.000 0.000 3.090
ATOMIC_POSITIONS crystal
Sc 0.000 0.000 0.000
Sc 0.177 0.323 0.000
Sc 0.323 0.823 0.000
Sc 0.500 0.500 0.000
Sc 0.677 0.177 0.000
Sc 0.823 0.677 0.000
B 0.122 0.622 0.000
B 0.378 0.122 0.000
B 0.622 0.878 0.000
B 0.878 0.378 0.000
Ir 0.000 0.500 0.500
Ir 0.070 0.777 0.500
Ir 0.223 0.070 0.500
Ir 0.277 0.570 0.500
Ir 0.430 0.277 0.500
Ir 0.500 0.000 0.500
Ir 0.570 0.723 0.500
Ir 0.723 0.430 0.500
Ir 0.777 0.930 0.500
Ir 0.930 0.223 0.500

=====

Record 2
! BPtW | Alexandria | PBE-GGA | optimized geometry; values from VASP
! DFT formation energy = -0.20 eV per atom
! Energy above the lowest structure with this stoichiometry = 0.323 eV/f.u.
! Density = 16.7 Mg/m³
! Symmetry = P2/m
! Crystal system = monoclinic
&SYSTEM
  ibrav = 0, nat = 6, ntyp = 3
/
ATOMIC_SPECIES
B 10.81 B.upf
Pt 195.08 Pt.upf
W 183.84 W.upf
CELL_PARAMETERS angstrom
4.943 0.000 0.000
0.000 2.991 0.000
-1.646 0.000 5.237
ATOMIC_POSITIONS crystal
B 0.176 0.000 0.497
B 0.824 0.000 0.503
Pt 0.393 0.000 0.213
Pt 0.607 0.000 0.787
W 0.110 0.500 0.784
W 0.890 0.500 0.216

=====

Record 3
! LiBe3H | Alexandria | PBE-GGA | optimized geometry; values from VASP
! Energy above the lowest structure with this stoichiometry = 0.000 eV/f.u.
! Density = 1.5 Mg/m³
! Symmetry = Pm-3m
! Crystal system = cubic
&SYSTEM
  ibrav = 0, nat = 5, ntyp = 3
/
ATOMIC_SPECIES
Li 6.94 Li.upf
Be 9.01 Be.upf
H 1.01 H.upf
CELL_PARAMETERS angstrom
3.418 0.000 0.000
0.000 3.418 0.000
0.000 0.000 3.418
ATOMIC_POSITIONS crystal
Li 0.000 0.000 0.000
Be 0.000 0.500 0.500
Be 0.500 0.000 0.500
Be 0.500 0.500 0.000
H 0.500 0.500 0.500

=====

Record 4
! In4SnTe7 | Alexandria | PBE-GGA | optimized geometry; values from VASP
! Density = 5.1 Mg/m³
! Symmetry = Pmn2_1
! Crystal system = orthorhombic
! Energy relative to the elements, uncorrected = -0.287 eV per atom
&SYSTEM
  ibrav = 0, nat = 24, ntyp = 3
/
ATOMIC_SPECIES
In 114.82 In.upf
Sn 118.71 Sn.upf
Te 127.60 Te.upf
CELL_PARAMETERS angstrom
17.348 0.000 0.000
0.000 7.654 0.000
0.000 0.000 7.199
ATOMIC_POSITIONS crystal
In 0.124 0.162 0.000
In 0.247 0.677 0.998
In 0.253 0.323 0.498
In 0.376 0.838 0.500
In 0.624 0.838 0.500
In 0.747 0.323 0.498
In 0.753 0.677 0.998
In 0.876 0.162 0.000
Sn 0.000 0.426 0.467
Sn 0.500 0.574 0.967
Te 0.000 0.385 0.889
Te 0.114 0.144 0.400
Te 0.114 0.825 0.856
Te 0.231 0.682 0.396
Te 0.269 0.318 0.896
Te 0.386 0.175 0.356
Te 0.386 0.856 0.900
Te 0.500 0.615 0.389
Te 0.614 0.175 0.356
Te 0.614 0.856 0.900
Te 0.731 0.318 0.896
Te 0.769 0.682 0.396
Te 0.886 0.144 0.400
Te 0.886 0.825 0.856

=====

Record 5
! Ba5ThAs4 | Alexandria | PBE-GGA | optimized geometry; values from VASP
! DFT formation energy = -1.02 eV per atom
! Density = 4.8 Mg/m³
! Symmetry = C2/m
! Crystal system = monoclinic
&SYSTEM
  ibrav = 0, nat = 10, ntyp = 3
/
ATOMIC_SPECIES
Ba 137.33 Ba.upf
Th 232.04 Th.upf
As 74.92 As.upf
CELL_PARAMETERS angstrom
10.104 -2.305 0.000
10.104 2.305 0.000
-2.092 0.000 8.975
ATOMIC_POSITIONS crystal
Ba 0.000 0.000 0.000
Ba 0.332 0.332 0.654
Ba 0.340 0.340 0.180
Ba 0.660 0.660 0.820
Ba 0.668 0.668 0.346
Th 0.000 0.000 0.500
As 0.155 0.155 0.581
As 0.498 0.498 0.725
As 0.502 0.502 0.275
As 0.845 0.845 0.419

=====

Record 6
! Li2TePd | Alexandria | PBE-GGA | optimized geometry; values from VASP
! Density = 5.4 Mg/m³
! Symmetry = I-42d
! Crystal system = tetragonal
! Energy relative to the elements, uncorrected = -0.453 eV per atom
&SYSTEM
  ibrav = 0, nat = 8, ntyp = 3
/
ATOMIC_SPECIES
Li 6.94 Li.upf
Te 127.60 Te.upf
Pd 106.42 Pd.upf
CELL_PARAMETERS angstrom
-2.056 2.056 9.014
2.056 -2.056 9.014
2.056 2.056 -9.014
ATOMIC_POSITIONS crystal
Li 0.115 0.625 0.990
Li 0.375 0.365 0.490
Li 0.635 0.125 0.010
Li 0.875 0.885 0.510
Te 0.250 0.750 0.500
Te 0.500 0.500 0.000
Pd 0.000 0.000 0.000
Pd 0.750 0.250 0.500

=====

Record 7
! LiNi2As | Alexandria | PBE-GGA | optimized geometry; values from VASP
! DFT formation energy = -0.14 eV per atom
! Density = 6.6 Mg/m³
! Symmetry = P2/m
! Crystal system = monoclinic
&SYSTEM
  ibrav = 0, nat = 4, ntyp = 3
/
ATOMIC_SPECIES
Li 6.94 Li.upf
Ni 58.69 Ni.upf
As 74.92 As.upf
CELL_PARAMETERS angstrom
2.689 0.000 0.000
0.000 3.965 0.000
-0.526 0.000 4.708
ATOMIC_POSITIONS crystal
Li 0.000 0.000 0.000
Ni 0.316 0.500 0.744
Ni 0.684 0.500 0.256
As 0.500 0.000 0.500

=====

Record 8
! HfGaMo2Pd | Alexandria | PBE-GGA | optimized geometry; values from VASP
! DFT formation energy = 1.70 eV per atom
! Density = 7.9 Mg/m³
! Symmetry = P4/mmm
! Crystal system = tetragonal
&SYSTEM
  ibrav = 0, nat = 5, ntyp = 4
/
ATOMIC_SPECIES
Hf 178.49 Hf.upf
Ga 69.72 Ga.upf
Mo 95.94 Mo.upf
Pd 106.42 Pd.upf
CELL_PARAMETERS angstrom
4.773 0.000 0.000
0.000 4.773 0.000
0.000 0.000 5.011
ATOMIC_POSITIONS crystal
Hf 0.000 0.000 0.000
Ga 0.000 0.000 0.500
Mo 0.000 0.500 0.000
Mo 0.500 0.000 0.000
Pd 0.500 0.500 0.500

=====

Record 9
! Ga2AsBr8 | Alexandria | PBE-GGA | optimized geometry; values from VASP
! Density = 3.0 Mg/m³
! Symmetry = C2/m
! Crystal system = monoclinic
! Energy relative to the elements, uncorrected = -0.622 eV per atom
&SYSTEM
  ibrav = 0, nat = 11, ntyp = 3
/
ATOMIC_SPECIES
Ga 69.72 Ga.upf
As 74.92 As.upf
Br 79.90 Br.upf
CELL_PARAMETERS angstrom
6.136 -5.192 0.000
6.136 5.192 0.000
-0.254 0.000 7.326
ATOMIC_POSITIONS crystal
Ga 0.224 0.224 0.319
Ga 0.776 0.776 0.681
As 0.000 0.000 0.000
Br 0.062 0.706 0.816
Br 0.207 0.207 0.632
Br 0.294 0.938 0.184
Br 0.396 0.396 0.207
Br 0.604 0.604 0.793
Br 0.706 0.062 0.816
Br 0.793 0.793 0.368
Br 0.938 0.294 0.184

=====

Record 10
! TaAl2GaSb | Alexandria | PBE-GGA | optimized geometry; values from VASP
! Density = 6.2 Mg/m³
! Symmetry = P4/mmm
! Crystal system = tetragonal
! Energy relative to the elements, uncorrected = 1.119 eV per atom
&SYSTEM
  ibrav = 0, nat = 5, ntyp = 4
/
ATOMIC_SPECIES
Ta 180.95 Ta.upf
Al 26.98 Al.upf
Ga 69.72 Ga.upf
Sb 121.76 Sb.upf
CELL_PARAMETERS angstrom
4.601 0.000 0.000
0.000 4.601 0.000
0.000 0.000 5.364
ATOMIC_POSITIONS crystal
Ta 0.000 0.000 0.000
Al 0.000 0.500 0.500
Al 0.500 0.000 0.500
Ga 0.500 0.500 0.500
Sb 0.500 0.500 0.000

=====

Record 11
! NaNbFe2P | Alexandria | PBE-GGA | optimized geometry; values from VASP
! DFT formation energy = 0.47 eV per atom
! Density = 5.2 Mg/m³
! Symmetry = P4/mmm
! Crystal system = tetragonal
&SYSTEM
  ibrav = 0, nat = 5, ntyp = 4
/
ATOMIC_SPECIES
Na 22.99 Na.upf
Nb 92.91 Nb.upf
Fe 55.84 Fe.upf
P 30.97 P.upf
CELL_PARAMETERS angstrom
4.209 0.000 0.000
0.000 4.209 0.000
0.000 0.000 4.665
ATOMIC_POSITIONS crystal
Na 0.000 0.000 0.000
Nb 0.500 0.500 0.000
Fe 0.000 0.500 0.500
Fe 0.500 0.000 0.500
P 0.500 0.500 0.500

=====

Record 12
! TiNiTe2 | Alexandria | PBE-GGA | optimized geometry; values from VASP
! Density = 7.7 Mg/m³
! Symmetry = Fm-3m
! Crystal system = cubic
! Energy relative to the elements, uncorrected = -0.009 eV per atom
&SYSTEM
  ibrav = 0, nat = 4, ntyp = 3
/
ATOMIC_SPECIES
Ti 47.87 Ti.upf
Ni 58.69 Ni.upf
Te 127.60 Te.upf
CELL_PARAMETERS angstrom
0.000 3.398 3.398
3.398 0.000 3.398
3.398 3.398 0.000
ATOMIC_POSITIONS crystal
Ti 0.000 0.000 0.000
Ni 0.500 0.500 0.500
Te 0.250 0.250 0.250
Te 0.750 0.750 0.750